Computed, not measured: a geometry-optimized CaNbGeTeP structure at the PBE level of DFT.

The value obtained for the total DFT energy (no corrections) is -5.500 eV/atom. The energy relative to the elements, uncorrected comes out at -44 kJ/mol of atoms. The excess energy over the best structure of this formula in the dataset is 153 meV/atom.

The structure belongs to space group P4mm (No. 99); the cell edges are 3.3630, 3.3630 and 9.7923 Å and the angles 90.00°, 90.00° and 90.00°. The distinct sites, in fractional coordinates, are Ca at (0.0000, 0.0000, 0.0000), Nb at (0.0000, 0.0000, 0.6730), Ge at (0.5000, 0.5000, 0.5248), Te at (0.5000, 0.5000, 0.2274) and P at (0.5000, 0.5000, 0.8032).

Computed, not measured: a geometry-optimized CaRhBr2 structure at the PBE level of DFT.

The value obtained for the total DFT energy (no corrections) is -3.719 eV/atom. The energy relative to the elements, uncorrected comes out at -52 kJ/mol of atoms. The excess energy over the best structure of this formula in the dataset is 274 meV/atom.

The structure belongs to space group P4/mmm (No. 123); the cell edges are 4.8258, 4.8258 and 3.6964 Å and the angles 90.00°, 90.00° and 90.00°. The distinct sites, in fractional coordinates, are Ca at (0.0000, 0.0000, 0.0000), Rh at (0.5000, 0.5000, 0.0000) and Br at (0.0000, 0.5000, 0.5000).

Computed, not measured: a geometry-optimized Nd2HoTlO structure at the PBE level of DFT.

The value obtained for the total DFT energy (no corrections) is -5.628 eV/atom. The energy relative to the elements, uncorrected comes out at -129 kJ/mol of atoms.

The structure belongs to space group P4/mmm (No. 123); the cell edges are 5.0247, 5.0247 and 4.7215 Å and the angles 90.00°, 90.00° and 90.00°. The distinct sites, in fractional coordinates, are Nd at (0.0000, 0.5000, 0.0000), Ho at (0.0000, 0.0000, 0.5000), Tl at (0.5000, 0.5000, 0.5000) and O at (0.0000, 0.0000, 0.0000).

Computed, not measured: a geometry-optimized MgSiPBr2 structure at the PBE level of DFT.

The value obtained for the total DFT energy (no corrections) is -2.747 eV/atom. The energy relative to the elements, uncorrected comes out at 39 kJ/mol of atoms.

The structure belongs to space group P4/mmm (No. 123); the cell edges are 5.1265, 5.1265 and 4.9113 Å and the angles 90.00°, 90.00° and 90.00°. The distinct sites, in fractional coordinates, are Mg at (0.0000, 0.0000, 0.0000), Si at (0.5000, 0.5000, 0.0000), P at (0.5000, 0.5000, 0.5000) and Br at (0.0000, 0.5000, 0.5000).

Computed, not measured: a geometry-optimized PmPrSmCd structure at the PBE level of DFT.

The value obtained for the total DFT energy (no corrections) is -3.820 eV/atom. The calculation puts the energy of formation from the pure elements at -29 meV/atom. The excess energy over the best structure of this formula in the dataset is 123 meV/atom.

The structure belongs to space group F-43m (No. 216); the cell edges are 7.9080, 7.9080 and 7.9080 Å and the angles 90.00°, 90.00° and 90.00°. The distinct sites, in fractional coordinates, are Pm at (0.0000, 0.0000, 0.0000), Pr at (0.0000, 0.0000, 0.5000), Sm at (0.2500, 0.2500, 0.7500) and Cd at (0.2500, 0.2500, 0.2500).

Computed, not measured: a geometry-optimized TlGeTe3 structure at the PBE level of DFT.

The value obtained for the total DFT energy (no corrections) is -3.287 eV/atom. The energy relative to the elements, uncorrected comes out at -1 kJ/mol of atoms. The excess energy over the best structure of this formula in the dataset is 48 meV/atom.

The structure belongs to space group P1 (No. 1); the cell edges are 5.0465, 7.8362 and 9.8265 Å and the angles 112.00°, 102.75° and 95.09°. The distinct sites, in fractional coordinates, are Tl at (0.0000, 0.0000, 0.0000), Tl at (0.4905, 0.4899, 0.9787), Ge at (0.4776, 0.5293, 0.4897), Ge at (0.8445, 0.8375, 0.4895), Te at (0.1334, 0.6572, 0.2630), Te at (0.3597, 0.8836, 0.7155), Te at (0.5438, 0.9617, 0.2621), Te at (0.7525, 0.3303, 0.2594), Te at (0.7703, 0.1887, 0.7158) and Te at (0.9828, 0.5599, 0.7188).

Computed, not measured: a geometry-optimized K3MgAs structure at the PBE level of DFT.

The value obtained for the total DFT energy (no corrections) is -1.879 eV/atom. The calculation puts the energy of formation from the pure elements at 28 meV/atom. The excess energy over the best structure of this formula in the dataset is 0 meV/atom.

The structure belongs to space group Pm-3m (No. 221); the cell edges are 6.4587, 6.4587 and 6.4587 Å and the angles 90.00°, 90.00° and 90.00°. The distinct sites, in fractional coordinates, are K at (0.0000, 0.0000, 0.5000), Mg at (0.5000, 0.5000, 0.5000) and As at (0.0000, 0.0000, 0.0000).

Computed, not measured: a geometry-optimized Y2MgTiFe structure at the PBE level of DFT.

The value obtained for the total DFT energy (no corrections) is -4.644 eV/atom. The calculation puts the energy of formation from the pure elements at 1532 meV/atom.

The structure belongs to space group P4/mmm (No. 123); the cell edges are 5.4085, 5.4085 and 4.8165 Å and the angles 90.00°, 90.00° and 90.00°. The distinct sites, in fractional coordinates, are Y at (0.0000, 0.5000, 0.0000), Mg at (0.0000, 0.0000, 0.0000), Ti at (0.0000, 0.0000, 0.5000) and Fe at (0.5000, 0.5000, 0.5000).

Computed, not measured: a geometry-optimized ThH3 structure at the PBE level of DFT.

The value obtained for the total DFT energy (no corrections) is -4.815 eV/atom.

The structure belongs to space group I4/mmm (No. 139); the cell edges are 3.5191, 3.5191 and 6.4987 Å and the angles 90.00°, 90.00° and 90.00°. The distinct sites, in fractional coordinates, are Th at (0.0000, 0.0000, 0.0000), H at (0.0000, 0.0000, 0.5000) and H at (0.0000, 0.5000, 0.2500).

Computed, not measured: a geometry-optimized ThScSi3 structure at the PBE level of DFT.

The value obtained for the total DFT energy (no corrections) is -6.680 eV/atom. The energy relative to the elements, uncorrected comes out at -65 kJ/mol of atoms.

The structure belongs to space group Cmcm (No. 63); the cell edges are 4.1229, 24.6860 and 3.8733 Å and the angles 90.00°, 90.00° and 90.00°. The distinct sites, in fractional coordinates, are Th at (0.0000, 0.0747, 0.2500), Sc at (0.0000, 0.2037, 0.7500), Si at (0.0000, 0.3148, 0.7500), Si at (0.0000, 0.3739, 0.2500) and Si at (0.0000, 0.4729, 0.2500).

Computed, not measured: a geometry-optimized AlTlP structure at the PBE level of DFT.

The value obtained for the total DFT energy (no corrections) is -3.970 eV/atom. The calculation puts the energy of formation from the pure elements at -130 meV/atom. The excess energy over the best structure of this formula in the dataset is 0 meV/atom.

The structure belongs to space group P3m1 (No. 156); the cell edges are 3.8495, 3.8495 and 5.5494 Å and the angles 90.00°, 90.00° and 120.00°. The distinct sites, in fractional coordinates, are Al at (0.0000, 0.0000, 0.0000), Tl at (0.3333, 0.6667, 0.4180) and P at (0.6667, 0.3333, 0.8532).

Computed, not measured: a geometry-optimized TaNi2AgSe structure at the PBE level of DFT.

The value obtained for the total DFT energy (no corrections) is -4.547 eV/atom. The energy relative to the elements, uncorrected comes out at 135 kJ/mol of atoms.

The structure belongs to space group P4/mmm (No. 123); the cell edges are 4.5520, 4.5520 and 5.2506 Å and the angles 90.00°, 90.00° and 90.00°. The distinct sites, in fractional coordinates, are Ta at (0.0000, 0.0000, 0.0000), Ni at (0.0000, 0.5000, 0.0000), Ag at (0.0000, 0.0000, 0.5000) and Se at (0.5000, 0.5000, 0.5000).

The records above yield magnetization values of 0.277, 0.927, 0.000, 0.000, 0.002, 0.000, 0.000, 2.774, 0.000, 0.000, 0.000, 0.000 μB/cell, respectively.